## PaFeIrO6 (PBE+U)

Data for PaFeIrO6 after structural relaxation.

Structure (POSCAR):
```
PaFeIrO6
1.0
5.367 0.000 0.000
-2.683 4.648 0.000
0.000 0.000 8.711
Fe O Pa Ir
2 12 2 2
Direct
0.333 0.667 0.750 Fe
0.667 0.333 0.250 Fe
0.312 0.982 0.625 O
0.312 0.330 0.875 O
0.330 0.312 0.375 O
0.670 0.688 0.625 O
0.688 0.018 0.375 O
0.018 0.330 0.625 O
0.330 0.018 0.125 O
0.688 0.670 0.125 O
0.982 0.312 0.125 O
0.670 0.982 0.875 O
0.018 0.688 0.875 O
0.982 0.670 0.375 O
0.333 0.667 0.250 Pa
0.667 0.333 0.750 Pa
0.000 0.000 0.500 Ir
0.000 0.000 0.000 Ir
```

Calculated values
Electronic total energy, eV for the cell shown: -140.541
Symmetry: No. 163
Total magnetization, μB/cell: 8.50